Compound: MnNiS3
Source: the Alexandria database
Functional: PBE-GGA
Structure: optimized geometry

Structure (POSCAR):
```
MnNiS3
1.0
5.093 0.000 2.853
1.748 4.784 2.853
-0.123 -0.086 6.194
Mn Ni S
2 2 6
direct
0.342 0.342 0.973 Mn
0.658 0.658 0.027 Mn
0.154 0.154 0.537 Ni
0.846 0.846 0.463 Ni
0.063 0.437 0.748 S
0.751 0.063 0.749 S
0.563 0.249 0.252 S
0.249 0.937 0.251 S
0.937 0.563 0.252 S
0.437 0.751 0.748 S
```

Values from the calculation:
As for the space-group type: R-3 (148). The calculation puts the energy relative to the elements, uncorrected at -0.42 eV/atom. The value obtained for the relative energy among the computed polymorphs is 0.0 meV per atom.